Compound: AcHNF
Source: Alexandria via LeMat-Bulk
Functional: PBE
Structure: optimized geometry

```
AcHNF
1.0
3.571 0.000 0.000
0.000 3.819 0.000
0.000 0.000 5.087
Ac H N F
1 1 1 1
Direct
0.000 0.000 0.000 Ac
0.500 0.500 0.674 H
0.500 0.500 0.879 N
0.500 0.000 0.346 F
```

Properties
* Fermi-level density of states: 0.00 states/eV/cell
* space group: Pmm2 (25)
* total energy: -6.198 eV per atom